A plane-wave DFT calculation with PBE with a Hubbard U was carried out for crystalline ZrMnIrO6 at its relaxed geometry.

Computed properties:
* magnetization: 2.147 μB/f.u.
* total energy: -69.80 eV per formula unit
* Fermi-level density of states: 5.47 states/eV per cell
* crystal system: trigonal

a b c (Å): 5.2523 5.2523 9.1244
angles (deg): 90.00 90.00 120.00
Space group P-31c (No. 163)
One atom of each set of equivalent atoms:
Zr (0.3333, 0.6667, 0.2500) x2
Mn (0.0000, 0.0000, 0.0000) x2
Ir (0.3333, 0.6667, 0.7500) x2
O (0.0207, 0.3548, 0.6295) x12